Record 1
Material: Dy7Ni2Rh2
Method: DFT, PBE
State: optimized geometry

Geometry as POSCAR:
```
Dy7Ni2Rh2
1.0
-6.271 2.021 0.372
-1.529 -3.720 -5.561
0.001 -5.485 3.669
Dy Ni Rh
7 2 2
direct
0.000 0.263 0.500
0.500 0.737 0.000
0.000 0.737 0.500
0.500 0.263 0.000
0.000 0.000 0.000
0.500 0.740 0.500
0.500 0.260 0.500
0.769 0.500 0.769
0.231 0.500 0.231
0.722 0.000 0.278
0.278 0.000 0.722
```

Calculated values
- SG = No. 65
- DFT formation energy (eV per atom) = -0.275

***

Record 2
Material: Cd2CuO3
Method: DFT, PBE
State: optimized geometry

Geometry as POSCAR:
```
Cd2CuO3
1.0
-3.171 -0.498 2.105
-1.630 -1.111 -2.718
4.129 -4.833 1.574
Cd Cu O
2 1 3
direct
0.847 0.616 0.694
0.153 0.922 0.306
0.500 0.273 0.000
0.000 0.182 0.000
0.341 0.215 0.682
0.659 0.534 0.318
```

Calculated values
- SG = No. 44
- energy relative to the elements, uncorrected (kJ per mole of atoms) = -76.2

***

no.,calculated volume (Å³ per atom)
1,26.48
2,12.96